Computed, not measured: crystalline LaTiV2 at its relaxed geometry at the PBE level of DFT.

Summary:
symmetry = No. 122
V = 19.22 Å³ per atom
E = -6.914 eV per atom
total magnetic moment = 0.0013 μB/atom
ΔE to the lowest computed polymorph = 347 meV per atom
DFT formation energy = 851 meV per atom

a = 5.9352 Å, b = 5.9352 Å, c = 5.9352 Å
α = 103.03°, β = 103.03°, γ = 123.30°
Fractional positions:
La1 0.0000 0.0000 0.0000
La2 0.7500 0.2500 0.5000
Ti1 0.2500 0.7500 0.5000
Ti2 0.5000 0.5000 0.0000
V1 0.1485 0.6250 0.0235
V2 0.3750 0.3985 0.5235
V3 0.6015 0.1250 0.9765
V4 0.8750 0.8515 0.4765

---

Computed, not measured: crystalline KAgAu2 at its relaxed geometry at the PBE level of DFT.

Summary:
symmetry = No. 6
V = 23.94 Å³ per atom
E = -2.649 eV per atom
total magnetic moment = 0.0000 μB/atom
ΔE to the lowest computed polymorph = 61 meV per atom
DFT formation energy = -23 meV per atom

a = 2.8811 Å, b = 4.8567 Å, c = 6.8445 Å
α = 90.00°, β = 90.36°, γ = 90.00°
Fractional positions:
K1 0.0000 0.0000 0.0000
Ag1 0.9894 0.5000 0.3710
Au1 0.4918 0.0000 0.4613
Au2 0.4954 0.5000 0.7377

---

Computed, not measured: crystalline PaTeH2 at its relaxed geometry at the PBE level of DFT.

Summary:
symmetry = No. 166
V = 15.18 Å³ per atom
E = -5.453 eV per atom
total magnetic moment = 0.2490 μB/atom
ΔE to the lowest computed polymorph = 0 meV per atom

a = 5.2185 Å, b = 5.2185 Å, c = 5.2185 Å
α = 43.34°, β = 43.34°, γ = 43.34°
Fractional positions:
Pa1 0.0000 0.0000 0.0000
Te1 0.5000 0.5000 0.5000
H1 0.3050 0.3050 0.3050
H2 0.6950 0.6950 0.6950

---

Computed, not measured: crystalline Ta2W at its relaxed geometry at the PBE level of DFT.

Summary:
symmetry = No. 139
V = 17.80 Å³ per atom
E = -11.996 eV per atom
total magnetic moment = 0.0000 μB/atom
ΔE to the lowest computed polymorph = 303 meV per atom
DFT formation energy = 224 meV per atom

a = 7.3795 Å, b = 7.3795 Å, c = 7.3795 Å
α = 158.62°, β = 158.62°, γ = 30.42°
Fractional positions:
Ta1 0.1656 0.1656 0.0000
Ta2 0.8344 0.8344 0.0000
W1 0.5000 0.5000 0.0000

---

Computed, not measured: crystalline Mg2AlGa9 at its relaxed geometry at the PBE level of DFT.

Summary:
symmetry = No. 123
V = 18.32 Å³ per atom
E = -2.898 eV per atom
total magnetic moment = 0.0000 μB/atom
DFT formation energy = -50 meV per atom

a = 4.1735 Å, b = 4.1735 Å, c = 12.6202 Å
α = 90.00°, β = 90.00°, γ = 90.00°
Fractional positions:
Mg1 0.0000 0.0000 0.1689
Mg2 0.0000 0.0000 0.8311
Al1 0.0000 0.0000 0.5000
Ga1 0.0000 0.5000 0.0000
Ga2 0.0000 0.5000 0.3398
Ga3 0.0000 0.5000 0.6602
Ga4 0.5000 0.0000 0.0000
Ga5 0.5000 0.0000 0.3398
Ga6 0.5000 0.0000 0.6602
Ga7 0.5000 0.5000 0.1675
Ga8 0.5000 0.5000 0.5000
Ga9 0.5000 0.5000 0.8325

---

Computed, not measured: crystalline Ca2BeHgOs at its relaxed geometry at the PBE level of DFT.

Summary:
symmetry = No. 123
V = 23.41 Å³ per atom
E = -2.989 eV per atom
total magnetic moment = 0.0115 μB/atom
DFT formation energy = 864 meV per atom

a = 5.2353 Å, b = 5.2353 Å, c = 4.2702 Å
α = 90.00°, β = 90.00°, γ = 90.00°
Fractional positions:
Ca1 0.0000 0.5000 0.0000
Ca2 0.5000 0.0000 0.0000
Be1 0.0000 0.0000 0.0000
Hg1 0.0000 0.0000 0.5000
Os1 0.5000 0.5000 0.5000

---

Computed, not measured: crystalline LiSmBi at its relaxed geometry at the PBE level of DFT.

Summary:
symmetry = No. 71
V = 29.17 Å³ per atom
E = -4.002 eV per atom
total magnetic moment = 0.0000 μB/atom
ΔE to the lowest computed polymorph = 168 meV per atom
DFT formation energy = -498 meV per atom

a = 8.9603 Å, b = 8.9603 Å, c = 8.9603 Å
α = 152.57°, β = 148.04°, γ = 42.61°
Fractional positions:
Li1 0.2493 0.0000 0.2493
Li2 0.7507 0.0000 0.7507
Sm1 0.3423 0.3423 0.0000
Sm2 0.6577 0.6577 0.0000
Bi1 0.1525 0.1525 0.0000
Bi2 0.8475 0.8475 0.0000

---

Computed, not measured: crystalline SmZr2Al at its relaxed geometry at the PBE level of DFT.

Summary:
symmetry = No. 166
V = 24.02 Å³ per atom
E = -6.213 eV per atom
total magnetic moment = 0.0003 μB/atom
ΔE to the lowest computed polymorph = 324 meV per atom
DFT formation energy = 176 meV per atom

a = 11.4181 Å, b = 11.4181 Å, c = 11.4181 Å
α = 15.79°, β = 15.79°, γ = 15.79°
Fractional positions:
Sm1 0.0000 0.0000 0.0000
Zr1 0.0953 0.0953 0.0953
Zr2 0.9047 0.9047 0.9047
Al1 0.5000 0.5000 0.5000

---

Computed, not measured: crystalline Pm4MgS5 at its relaxed geometry at the PBE level of DFT.

Summary:
symmetry = No. 79
V = 22.35 Å³ per atom
E = -5.981 eV per atom
total magnetic moment = 0.0000 μB/atom
energy relative to the elements, uncorrected = -42.84 kcal/mol of atoms

a = 6.8920 Å, b = 6.8920 Å, c = 6.8920 Å
α = 99.70°, β = 99.70°, γ = 131.53°
Fractional positions:
Pm1 0.0960 0.6959 0.7919
Pm2 0.3041 0.0960 0.4001
Pm3 0.6959 0.9040 0.5999
Pm4 0.9040 0.3041 0.2081
Mg1 0.4981 0.4981 0.0000
S1 0.0005 0.0005 0.0000
S2 0.2209 0.4046 0.6255
S3 0.4046 0.7791 0.1837
S4 0.5954 0.2209 0.8163
S5 0.7791 0.5954 0.3745

---

Computed, not measured: crystalline K2SrSiGe at its relaxed geometry at the PBE level of DFT.

Summary:
symmetry = No. 123
V = 47.59 Å³ per atom
E = -2.244 eV per atom
total magnetic moment = 0.6931 μB/atom
energy relative to the elements, uncorrected = 12.43 kcal/mol of atoms

a = 6.2479 Å, b = 6.2479 Å, c = 6.0958 Å
α = 90.00°, β = 90.00°, γ = 90.00°
Fractional positions:
K1 0.0000 0.5000 0.0000
K2 0.5000 0.0000 0.0000
Sr1 0.0000 0.0000 0.5000
Si1 0.5000 0.5000 0.5000
Ge1 0.0000 0.0000 0.0000

---

Computed, not measured: crystalline Mg2AsPt at its relaxed geometry at the PBE level of DFT.

Summary:
symmetry = No. 44
V = 19.03 Å³ per atom
E = -4.003 eV per atom
total magnetic moment = 0.0000 μB/atom
DFT formation energy = -533 meV per atom

a = 6.3146 Å, b = 6.3146 Å, c = 6.3146 Å
α = 152.55°, β = 138.80°, γ = 50.22°
Fractional positions:
Mg1 0.0000 0.0000 0.0000
Mg2 0.6979 0.1979 0.5000
As1 0.4012 0.4012 0.0000
Pt1 0.2082 0.7082 0.5000

---

Computed, not measured: crystalline Nd3Tl4VSe8 at its relaxed geometry at the PBE level of DFT.

Summary:
symmetry = No. 166
V = 29.45 Å³ per atom
E = -4.915 eV per atom
total magnetic moment = 0.1262 μB/atom
energy relative to the elements, uncorrected = -25.77 kcal/mol of atoms

a = 9.1241 Å, b = 9.1241 Å, c = 9.1241 Å
α = 54.73°, β = 54.73°, γ = 54.73°
Fractional positions:
Nd1 0.0000 0.5000 0.5000
Nd2 0.5000 0.0000 0.5000
Nd3 0.5000 0.5000 0.0000
Tl1 0.0000 0.0000 0.5000
Tl2 0.0000 0.5000 0.0000
Tl3 0.5000 0.0000 0.0000
Tl4 0.5000 0.5000 0.5000
V1 0.0000 0.0000 0.0000
Se1 0.2198 0.2198 0.7621
Se2 0.2198 0.7621 0.2198
Se3 0.2379 0.7802 0.7802
Se4 0.2613 0.2613 0.2613
Se5 0.7387 0.7387 0.7387
Se6 0.7621 0.2198 0.2198
Se7 0.7802 0.2379 0.7802
Se8 0.7802 0.7802 0.2379